(1)
LiHgRu2 GGA-PBE optimized geometry; DFT total energy = -19.502 eV per formula unit; formation energy = 0.3164 eV/atom; symmetry = F-43m; M_tot = 0.0 μB/cell
1.0
0.0000 3.1205 3.1205
3.1205 0.0000 3.1205
3.1205 3.1205 0.0000
Li Hg Ru
1 1 2
Direct
0.0000 0.0000 0.0000
0.7500 0.7500 0.7500
0.2500 0.2500 0.2500
0.5000 0.5000 0.5000

---

(2)
HfMgHg2 GGA-PBE optimized geometry; DFT total energy = -12.599 eV per formula unit; formation energy = -0.1120 eV/atom; symmetry = P4/mmm; M_tot = 0.0 μB/cell
1.0
4.8295 0.0000 0.0000
0.0000 4.8295 0.0000
0.0000 0.0000 3.6152
Hf Mg Hg
1 1 2
Direct
0.0000 0.0000 0.0000
0.5000 0.5000 0.0000
0.0000 0.5000 0.5000
0.5000 0.0000 0.5000

---

(3)
Lu4Pb2O GGA-PBE optimized geometry; DFT total energy = -38.064 eV per formula unit; energy relative to the elements, uncorrected = -1.0864 eV/atom; symmetry = I4/mmm; M_tot = 0.0 μB/cell
1.0
-2.2461 2.2461 8.2927
2.2461 -2.2461 8.2927
2.2461 2.2461 -8.2927
Lu Pb O
4 2 1
Direct
0.0000 0.5000 0.5000
0.1730 0.1730 0.0000
0.5000 0.0000 0.5000
0.8270 0.8270 0.0000
0.3597 0.3597 0.0000
0.6403 0.6403 0.0000
0.0000 0.0000 0.0000